Record 1
{
  "formula": "YHo3Er6Th2",
  "functional": "PBE",
  "state": "relaxed",
  "cell": [[6.1207, 0.0013, -0.0094], [-3.0578, 5.3021, -0.0094], [-1.0037, -1.7379, 11.5021]],
  "species": ["Er", "Er", "Er", "Ho", "Er", "Er", "Ho", "Th", "Er", "Y", "Th", "Ho"],
  "fractional_positions": [[0.9170, 0.5797, 0.7511], [0.7455, 0.7455, 0.2492], [0.5797, 0.9170, 0.7511], [0.1663, 0.8337, 0.5000], [0.0830, 0.4203, 0.2489], [0.2545, 0.2545, 0.7508], [0.5000, 0.5000, 0.5000], [0.3333, 0.6667, 0.0000], [0.4203, 0.0830, 0.2489], [0.0000, 0.0000, 0.0000], [0.6667, 0.3333, 0.0000], [0.8337, 0.1663, 0.5000]],
  "formation_energy_ev_per_atom": 0.03,
  "space_group": "C2/m (12)"
}

=====

Record 2
{
  "formula": "YHo6Er3Th2",
  "functional": "PBE",
  "state": "relaxed",
  "cell": [[6.1269, 0.0018, -0.0075], [-3.0604, 5.3079, -0.0075], [-1.0089, -1.7470, 11.5325]],
  "species": ["Ho", "Ho", "Ho", "Ho", "Th", "Ho", "Ho", "Er", "Er", "Th", "Y", "Er"],
  "fractional_positions": [[0.7463, 0.7463, 0.2495], [0.0838, 0.4209, 0.2494], [0.5791, 0.9162, 0.7506], [0.9162, 0.5791, 0.7506], [0.3333, 0.6667, 0.0000], [0.4209, 0.0838, 0.2494], [0.2537, 0.2537, 0.7505], [0.5000, 0.5000, 0.5000], [0.8337, 0.1663, 0.5000], [0.6667, 0.3333, 0.0000], [0.0000, 0.0000, 0.0000], [0.1663, 0.8337, 0.5000]],
  "formation_energy_ev_per_atom": 0.03,
  "space_group": "C2/m (12)"
}

=====

Record 3
{
  "formula": "YHoErTh",
  "functional": "PBE",
  "state": "relaxed",
  "cell": [[5.6537, 0.0000, 0.0000], [2.8269, 4.8963, 0.0000], [2.8269, 1.6321, 4.6162]],
  "species": ["Th", "Er", "Y", "Ho"],
  "fractional_positions": [[0.7500, 0.7500, 0.7500], [0.0000, 0.0000, 0.0000], [0.2500, 0.2500, 0.2500], [0.5000, 0.5000, 0.5000]],
  "polymorph_energy_kcal_per_mol_atoms": 3.182,
  "formation_energy_ev_per_atom": 0.14,
  "space_group": "F-43m (216)"
}

=====

Record 4
{
  "formula": "YHoEr5Th2",
  "functional": "PBE",
  "state": "relaxed",
  "cell": [[-8.3498, 2.5075, -0.0200], [-2.0808, -6.9672, -4.8101], [3.9834, -1.8211, 8.8155]],
  "species": ["Er", "Er", "Th", "Y", "Er", "Th", "Er", "Th", "Er", "Er", "Er", "Ho", "Y", "Th", "Er", "Er", "Ho", "Er"],
  "fractional_positions": [[0.5704, 0.6497, 0.7202], [0.4296, 0.3503, 0.2798], [0.8806, 0.6194, 0.0000], [0.2500, 0.2500, 0.5000], [0.9296, 0.4296, 0.2798], [0.3806, 0.8806, 0.0000], [0.3503, 0.8503, 0.2798], [0.6194, 0.1194, 0.0000], [0.0704, 0.5704, 0.7202], [0.8503, 0.9296, 0.2798], [0.5000, 0.5000, 0.0000], [0.2500, 0.7500, 0.5000], [0.7500, 0.7500, 0.5000], [0.1194, 0.3806, 0.0000], [0.6497, 0.1497, 0.7202], [0.1497, 0.0704, 0.7202], [0.7500, 0.2500, 0.5000], [0.0000, 0.0000, 0.0000]],
  "formation_energy_ev_per_atom": 0.35,
  "space_group": "I4/mcm (140)"
}